Record 1
A geometry-optimized CuHg2BiPb structure. Source: the Alexandria database, functional PBE-GGA.

Cell: 5.0620 5.0620 5.5032 Å, 90.00 90.00 90.00°
Last column: nearest neighbours and their distance in Å.
Atoms (fractional coordinates):
1 Cu 0.0000 0.0000 0.0000  4 Hg 2.53, 2 Bi 2.75
2 Hg 0.0000 0.5000 0.0000  2 Cu 2.53
3 Hg 0.5000 0.0000 0.0000  2 Cu 2.53
4 Bi 0.0000 0.0000 0.5000  2 Cu 2.75
5 Pb 0.5000 0.5000 0.5000  4 Bi 3.58, 8 Hg 3.74

The energy is -11.3 eV for the cell shown. As for the energy relative to the elements: 18.6 kJ/mol of atoms. The calculation puts the volume at 28.20 A^3/atom.


Record 2
A geometry-optimized CuHgBi2Pd structure. Source: the Alexandria database, functional PBE-GGA.

Cell: 5.6099 5.6099 4.7837 Å, 90.00 90.00 90.00°
Last column: nearest neighbours and their distance in Å.
Atoms (fractional coordinates):
1 Cu 0.0000 0.0000 0.0000  2 Hg 2.39
2 Hg 0.0000 0.0000 0.5000  2 Cu 2.39
3 Bi 0.0000 0.5000 0.5000  2 Hg 2.80
4 Bi 0.5000 0.0000 0.5000  2 Hg 2.80
5 Pd 0.5000 0.5000 0.0000  8 Bi 3.69, 4 Cu 3.97

The energy is -13.0 eV for the cell shown. As for the energy relative to the elements: 84.8 kJ/mol of atoms. The calculation puts the volume at 30.11 A^3/atom.


Record 3
A geometry-optimized CuHg2BiS4 structure. Source: the Alexandria database, functional PBE-GGA.

Cell: 8.4995 7.1533 6.8055 Å, 90.00 90.00 90.00°
Last column: nearest neighbours and their distance in Å.
Atoms (fractional coordinates):
1 Cu 0.0000 0.1659 0.0000  4 S 2.30-2.32
2 Cu 0.5000 0.8341 0.5000  4 S 2.30-2.32
3 Hg 0.2490 0.6652 0.0004  4 S 2.60-2.63
4 Hg 0.2510 0.3348 0.5004  4 S 2.60-2.63
5 Hg 0.7490 0.3348 0.5004  4 S 2.60-2.63
6 Hg 0.7510 0.6652 0.0004  4 S 2.60-2.63
7 Bi 0.0000 0.8344 0.4943  4 S 2.70-2.76
8 Bi 0.5000 0.1656 0.9943  4 S 2.70-2.76
9 S 0.0000 0.1826 0.3400  1 Cu 2.32
10 S 0.0000 0.8597 0.8965  1 Cu 2.30
11 S 0.2175 0.3228 0.8802  1 Cu 2.31
12 S 0.2825 0.6772 0.3802  1 Cu 2.31
13 S 0.5000 0.1403 0.3965  1 Cu 2.30
14 S 0.5000 0.8174 0.8400  1 Cu 2.32
15 S 0.7175 0.6772 0.3802  1 Cu 2.31
16 S 0.7825 0.3228 0.8802  1 Cu 2.31

The energy is -52.9 eV for the cell shown. The calculation puts the volume at 25.86 A^3/atom.


Record 4
A geometry-optimized CuSn2HgBi structure. Source: the Alexandria database, functional PBE-GGA.

Cell: 5.2000 5.2000 5.0311 Å, 90.00 90.00 90.00°
Last column: nearest neighbours and their distance in Å.
Atoms (fractional coordinates):
1 Cu 0.0000 0.0000 0.0000  2 Hg 2.52, 4 Sn 2.60
2 Sn 0.0000 0.5000 0.0000  2 Cu 2.60
3 Sn 0.5000 0.0000 0.0000  2 Cu 2.60
4 Hg 0.0000 0.0000 0.5000  2 Cu 2.52
5 Bi 0.5000 0.5000 0.5000  8 Sn 3.62, 4 Hg 3.68

The energy is -15.3 eV for the cell shown. As for the energy relative to the elements: 19.9 kJ/mol of atoms. The calculation puts the volume at 27.21 A^3/atom.


Record 5
A geometry-optimized SrCuHgBi2 structure. Source: the Alexandria database, functional PBE-GGA.

Cell: 5.3987 5.3987 5.1634 Å, 90.00 90.00 90.00°
Last column: nearest neighbours and their distance in Å.
Atoms (fractional coordinates):
1 Sr 0.0000 0.0000 0.0000  8 Bi 3.74, 4 Hg 3.82
2 Cu 0.5000 0.5000 0.5000  2 Hg 2.58, 4 Bi 2.70
3 Hg 0.5000 0.5000 0.0000  2 Cu 2.58
4 Bi 0.0000 0.5000 0.5000  2 Cu 2.70
5 Bi 0.5000 0.0000 0.5000  2 Cu 2.70

The energy is -14.7 eV for the cell shown. As for the energy relative to the elements: -16.5 kJ/mol of atoms. The calculation puts the volume at 30.10 A^3/atom.


Record 6
A geometry-optimized Cu2TcHgBi structure. Source: the Alexandria database, functional PBE-GGA.

Cell: 4.9531 4.9531 5.5009 Å, 90.00 90.00 90.00°
Last column: nearest neighbours and their distance in Å.
Atoms (fractional coordinates):
1 Cu 0.0000 0.5000 0.0000  2 Bi 2.48
2 Cu 0.5000 0.0000 0.0000  2 Bi 2.48
3 Tc 0.0000 0.0000 0.5000  2 Bi 2.75
4 Hg 0.5000 0.5000 0.5000  4 Tc 3.50, 8 Cu 3.70
5 Bi 0.0000 0.0000 0.0000  4 Cu 2.48, 2 Tc 2.75

The energy is -16.7 eV for the cell shown. As for the energy relative to the elements: 116.9 kJ/mol of atoms. The calculation puts the volume at 26.99 A^3/atom.